No. 1
An optimized crystal structure of LiSmAgSb. Source: Alexandria, functional PBE.

Cell and atoms, written as CIF:
```
data_LiSmAgSb
_chemical_formula_sum 'Li4 Sm4 Ag4 Sb4'
_space_group_name_H-M_alt 'F -4 3 m'
_space_group_IT_number 216
_space_group_name_Hall 'F -4 2 3'
_cell_length_a 7.223
_cell_length_b 7.223
_cell_length_c 7.223
_cell_angle_alpha 90.00
_cell_angle_beta 90.00
_cell_angle_gamma 90.00
loop_
_atom_site_label
_atom_site_fract_x
_atom_site_fract_y
_atom_site_fract_z
_atom_site_occupancy
Li1 0.000 0.000 0.000 1
Sm1 0.000 0.000 0.500 1
Ag1 0.250 0.250 0.250 1
Sb1 0.250 0.250 0.750 1
```

Properties
Formation energy from raw total energies: -541 meV per atom


No. 2
An optimized crystal structure of Li2Ag7Sn2Sb. Source: Alexandria, functional PBE.

Cell and atoms, written as CIF:
```
data_Li2Ag7Sn2Sb
_chemical_formula_sum 'Li4 Ag14 Sn4 Sb2'
_space_group_name_H-M_alt 'C 1 2/m 1'
_space_group_IT_number 12
_space_group_name_Hall '-C 2y'
_cell_length_a 5.924
_cell_length_b 6.018
_cell_length_c 13.319
_cell_angle_alpha 90.00
_cell_angle_beta 90.14
_cell_angle_gamma 90.00
loop_
_atom_site_label
_atom_site_fract_x
_atom_site_fract_y
_atom_site_fract_z
_atom_site_occupancy
Li1 0.000 0.000 0.184 1
Ag1 0.000 0.000 0.500 1
Ag2 0.243 0.000 0.000 1
Ag3 0.249 0.250 0.667 1
Sn1 0.000 0.500 0.181 1
Sb1 0.000 0.500 0.500 1
```

Properties
Formation energy from raw total energies: -44 meV per atom


No. 3
An optimized crystal structure of LiAgSn2Sb. Source: Alexandria, functional PBE.

Cell and atoms, written as CIF:
```
data_LiAgSn2Sb
_chemical_formula_sum 'Li1 Ag1 Sn2 Sb1'
_space_group_name_H-M_alt 'P 4/m m m'
_space_group_IT_number 123
_space_group_name_Hall '-P 4 2'
_cell_length_a 5.022
_cell_length_b 5.022
_cell_length_c 5.005
_cell_angle_alpha 90.00
_cell_angle_beta 90.00
_cell_angle_gamma 90.00
loop_
_atom_site_label
_atom_site_fract_x
_atom_site_fract_y
_atom_site_fract_z
_atom_site_occupancy
Li1 0.000 0.000 0.000 1
Ag1 0.500 0.500 0.500 1
Sn1 0.000 0.500 0.000 1
Sb1 0.000 0.000 0.500 1
```

Properties
Formation energy from raw total energies: 311 meV per atom


No. 4
An optimized crystal structure of SrLi2Ag2Sb2. Source: Alexandria, functional PBE.

Cell and atoms, written as CIF:
```
data_SrLi2Ag2Sb2
_chemical_formula_sum 'Sr3 Li6 Ag6 Sb6'
_space_group_name_H-M_alt 'R -3 m'
_space_group_IT_number 166
_space_group_name_Hall '-R 3 2"'
_cell_length_a 4.7369
_cell_length_b 4.7369
_cell_length_c 25.3406
_cell_angle_alpha 90.00
_cell_angle_beta 90.00
_cell_angle_gamma 120.00
loop_
_atom_site_label
_atom_site_fract_x
_atom_site_fract_y
_atom_site_fract_z
_atom_site_occupancy
Sr1 0.0000 0.0000 0.0000 1
Li1 0.0000 0.0000 0.1386 1
Ag1 0.0000 0.0000 0.4371 1
Sb1 0.0000 0.0000 0.2507 1
```

Properties
Formation energy from raw total energies: -590 meV per atom